P.
Below is ZrTcAu at its PBEsol-relaxed geometry, with properties calculated at the SCAN level.

Cell: 6.222 6.222 6.222 Å, 90.00 90.00 90.00°
Space group F-43m (No. 216)
Inequivalent atoms, fractional coordinates:
Zr  0.000  0.000  0.000 [4 per cell]
Tc  0.250  0.250  0.250 [4 per cell]
Au  0.000  0.000  0.500 [4 per cell]

Output
Density of states at the Fermi level ... 1.050 states/eV per atom

---

Q.
Below is ZrTcAu at its PBEsol-relaxed geometry, with properties calculated at the SCAN level.

Cell: 3.464 4.513 13.070 Å, 90.00 90.00 90.00°
Space group Fmm2 (No. 42)
Inequivalent atoms, fractional coordinates:
Zr  0.000  0.000  0.000 [4 per cell]
Tc  0.000  0.000  0.657 [4 per cell]
Au  0.000  0.000  0.324 [4 per cell]

Output
Density of states at the Fermi level ... 0.597 states/eV per atom

---

Of them, Q has the highest stability.

---

P.
Below is TiTe3Au at its PBEsol-relaxed geometry, with properties calculated at the SCAN level.

Cell: 5.308 5.308 5.308 Å, 90.00 90.00 90.00°
Space group Pm-3m (No. 221)
Inequivalent atoms, fractional coordinates:
Ti  0.000  0.000  0.000 [1 per cell]
Te  0.000  0.500  0.500 [3 per cell]
Au  0.500  0.500  0.500 [1 per cell]

Output
Density of states at the Fermi level ... 0.796 states/eV per atom

---

Q.
Below is TiTe3Au at its PBEsol-relaxed geometry, with properties calculated at the SCAN level.

Cell: 5.186 5.186 5.186 Å, 90.00 90.00 90.00°
Space group Pm-3m (No. 221)
Inequivalent atoms, fractional coordinates:
Ti  0.000  0.000  0.000 [1 per cell]
Te  0.000  0.000  0.500 [3 per cell]
Au  0.500  0.500  0.500 [1 per cell]

Output
Density of states at the Fermi level ... 1.154 states/eV per atom

---

Of them, Q has the highest stability.

---

P.
Below is Te2WAu at its PBEsol-relaxed geometry, with properties calculated at the SCAN level.

Cell: 3.2598 3.2598 29.6735 Å, 90.00 90.00 120.00°
Space group R3m (No. 160, hexagonal axes)
Inequivalent atoms, fractional coordinates:
Te  0.0000  0.0000  0.0000 [3 per cell]
Te  0.0000  0.0000  0.2100 [3 per cell]
W  0.0000  0.0000  0.7315 [3 per cell]
Au  0.0000  0.0000  0.4677 [3 per cell]

Output
Density of states at the Fermi level ... 0.444 states/eV per atom

---

Q.
Below is Te2WAu at its PBEsol-relaxed geometry, with properties calculated at the SCAN level.

Cell: 4.113 4.113 9.572 Å, 90.00 90.00 90.00°
Space group I-4m2 (No. 119)
Inequivalent atoms, fractional coordinates:
Te  0.000  0.000  0.000 [2 per cell]
Te  0.000  0.500  0.250 [2 per cell]
W  0.000  0.000  0.500 [2 per cell]
Au  0.000  0.500  0.750 [2 per cell]

Output
Density of states at the Fermi level ... 0.805 states/eV per atom

---

R.
Below is Te2WAu at its PBEsol-relaxed geometry, with properties calculated at the SCAN level.

Cell: 3.991 3.991 6.067 Å, 90.00 90.00 90.00°
Space group P-4m2 (No. 115)
Inequivalent atoms, fractional coordinates:
Te  0.000  0.500  0.189 [2 per cell]
W  0.500  0.500  0.500 [1 per cell]
Au  0.000  0.000  0.500 [1 per cell]

Output
Density of states at the Fermi level ... 0.345 states/eV per atom

---

S.
Below is Te2WAu at its PBEsol-relaxed geometry, with properties calculated at the SCAN level.

Cell: 3.460 3.460 7.481 Å, 90.00 90.00 90.00°
Space group P4mm (No. 99)
Inequivalent atoms, fractional coordinates:
Te  0.000  0.000  0.000 [1 per cell]
Te  0.500  0.500  0.416 [1 per cell]
W  0.000  0.000  0.623 [1 per cell]
Au  0.500  0.500  0.823 [1 per cell]

Output
Density of states at the Fermi level ... 0.610 states/eV per atom

---

Of them, R has the highest stability.